# Nd2Dy3Hg7

A relaxed Nd2Dy3Hg7 crystal (PBE, the Alexandria database).

Lattice parameters (Å, degrees): 5.2619 23.4658 5.4153 90.00 90.00 90.00
Space group Cmmm (No. 65)
Asymmetric unit:
Nd 0.0000 0.1448 0.0000
Dy 0.0000 0.3378 0.5000
Dy 0.0000 0.5000 0.5000
Hg 0.0000 0.0000 0.0000
Hg 0.0000 0.0790 0.5000
Hg 0.0000 0.2783 0.0000
Hg 0.0000 0.4271 0.0000

Values from the calculation:
- Formation energy from the elements: -28 kJ/mol of atoms
- DOS at the Fermi energy: 17.39 states/eV/cell
- Crystal system: orthorhombic
- Total moment: 0.00 μB per cell